LiCoSe2: optimized geometry, PBE.

a = 11.9329 Å, b = 3.4200 Å, c = 4.2314 Å
α = 90.00°, β = 109.98°, γ = 90.00°
Closest atoms and distances in Å follow each position.
Positions (direct):
1 Li 0.0000 0.0000 0.0000  5 Se 2.66-2.78, 1 Co 2.79
2 Li 0.5000 0.5000 0.0000  5 Se 2.66-2.78, 1 Co 2.79
3 Co 0.1829 0.0000 0.7295  4 Se 2.31-2.36
4 Co 0.6829 0.5000 0.7295  4 Se 2.31-2.36
5 Se 0.0396 0.5000 0.5449  2 Co 2.36
6 Se 0.2871 0.5000 0.0723  2 Co 2.31
7 Se 0.5396 0.0000 0.5449  2 Co 2.36
8 Se 0.7871 0.0000 0.0723  2 Co 2.31

Output
total magnetization	3.09	μB per cell
SG	No. 8
E_form (uncorrected)	-0.373	eV/atom
mass density	4.58	g/cm³

LiCo2Se: optimized geometry, PBE.

a = 3.6171 Å, b = 3.6171 Å, c = 7.4307 Å
α = 90.00°, β = 90.00°, γ = 90.00°
Closest atoms and distances in Å follow each position.
Positions (direct):
1 Li 0.0000 0.0000 0.0000  8 Co 2.56-2.59, 4 Se 2.59
2 Li 0.5000 0.5000 0.5000  8 Co 2.56-2.59, 4 Se 2.59
3 Co 0.0000 0.0000 0.5000  4 Li 2.56, 4 Co 2.59, 4 Se 2.59
4 Co 0.0000 0.5000 0.7500  4 Se 2.56, 4 Co 2.59, 4 Li 2.59
5 Co 0.5000 0.0000 0.2500  4 Se 2.56, 4 Li 2.59, 4 Co 2.59
6 Co 0.5000 0.5000 0.0000  4 Li 2.56, 4 Se 2.59, 4 Co 2.59
7 Se 0.0000 0.5000 0.2500  8 Co 2.56-2.59, 4 Li 2.59
8 Se 0.5000 0.0000 0.7500  8 Co 2.56-2.59, 4 Li 2.59

Output
total magnetization	5.19	μB per cell
SG	No. 119
E_form (uncorrected)	0.016	eV/atom
mass density	6.96	g/cm³

LiCo2Se: optimized geometry, PBE.

a = 3.0150 Å, b = 3.0150 Å, c = 5.3252 Å
α = 90.00°, β = 90.00°, γ = 90.00°
Closest atoms and distances in Å follow each position.
Positions (direct):
1 Li 0.0000 0.0000 0.0000  8 Co 2.52, 2 Se 2.66
2 Co 0.5000 0.5000 0.2522  4 Se 2.51, 4 Li 2.52, 2 Co 2.64-2.69
3 Co 0.5000 0.5000 0.7478  4 Se 2.51, 4 Li 2.52, 2 Co 2.64-2.69
4 Se 0.0000 0.0000 0.5000  8 Co 2.51, 2 Li 2.66

Output
total magnetization	0.81	μB per cell
SG	No. 123
E_form (uncorrected)	0.181	eV/atom
mass density	6.99	g/cm³

LiCoSe2: optimized geometry, PBE.

a = 6.4438 Å, b = 6.4438 Å, c = 6.4438 Å
α = 90.00°, β = 90.00°, γ = 90.00°
Closest atoms and distances in Å follow each position.
Positions (direct):
1 Li 0.0000 0.0000 0.0000  4 Se 2.79, 4 Co 2.79
2 Li 0.0000 0.5000 0.5000  4 Se 2.79, 4 Co 2.79
3 Li 0.5000 0.0000 0.5000  4 Se 2.79, 4 Co 2.79
4 Li 0.5000 0.5000 0.0000  4 Se 2.79, 4 Co 2.79
5 Co 0.2500 0.2500 0.2500  4 Se 2.79, 4 Li 2.79
6 Co 0.2500 0.7500 0.7500  4 Se 2.79, 4 Li 2.79
7 Co 0.7500 0.2500 0.7500  4 Se 2.79, 4 Li 2.79
8 Co 0.7500 0.7500 0.2500  4 Se 2.79, 4 Li 2.79
9 Se 0.0000 0.0000 0.5000  4 Co 2.79, 4 Se 2.79
10 Se 0.0000 0.5000 0.0000  4 Co 2.79, 4 Se 2.79
11 Se 0.2500 0.2500 0.7500  4 Se 2.79, 4 Li 2.79
12 Se 0.2500 0.7500 0.2500  4 Se 2.79, 4 Li 2.79
13 Se 0.5000 0.0000 0.0000  4 Co 2.79, 4 Se 2.79
14 Se 0.5000 0.5000 0.5000  4 Co 2.79, 4 Se 2.79
15 Se 0.7500 0.2500 0.2500  4 Se 2.79, 4 Li 2.79
16 Se 0.7500 0.7500 0.7500  4 Se 2.79, 4 Li 2.79

Output
total magnetization	7.08	μB per cell
SG	No. 216
E_form (uncorrected)	0.345	eV/atom
mass density	5.56	g/cm³

LiCoSe2: optimized geometry, PBE.

a = 6.5103 Å, b = 6.5200 Å, c = 2.8998 Å
α = 90.00°, β = 90.00°, γ = 90.00°
Closest atoms and distances in Å follow each position.
Positions (direct):
1 Li 0.0000 0.0000 0.0000  8 Se 2.72, 2 Li 2.90
2 Li 0.5000 0.5000 0.0000  8 Se 2.72, 2 Li 2.90
3 Co 0.0000 0.5000 0.0000  8 Se 2.72, 2 Co 2.90
4 Co 0.5000 0.0000 0.0000  8 Se 2.72, 2 Co 2.90
5 Se 0.2500 0.2500 0.5000  4 Co 2.72, 4 Li 2.72, 2 Se 2.90
6 Se 0.2500 0.7500 0.5000  4 Li 2.72, 4 Co 2.72, 2 Se 2.90
7 Se 0.7500 0.2500 0.5000  4 Li 2.72, 4 Co 2.72, 2 Se 2.90
8 Se 0.7500 0.7500 0.5000  4 Co 2.72, 4 Li 2.72, 2 Se 2.90

Output
total magnetization	1.85	μB per cell
SG	No. 65
E_form (uncorrected)	-0.155	eV/atom
mass density	6.04	g/cm³

LiCoSe2: optimized geometry, PBE.

a = 3.5958 Å, b = 3.5958 Å, c = 10.0124 Å
α = 90.00°, β = 90.00°, γ = 90.00°
Closest atoms and distances in Å follow each position.
Positions (direct):
1 Li 0.0000 0.0000 0.0000  4 Se 2.54
2 Li 0.5000 0.5000 0.5000  4 Se 2.54
3 Co 0.0000 0.5000 0.2500  4 Se 2.54
4 Co 0.5000 0.0000 0.7500  4 Se 2.54
5 Se 0.0000 0.0000 0.5000  4 Li 2.54
6 Se 0.0000 0.5000 0.7500  4 Co 2.54
7 Se 0.5000 0.0000 0.2500  4 Co 2.54
8 Se 0.5000 0.5000 0.0000  4 Li 2.54

Output
total magnetization	3.16	μB per cell
SG	No. 119
E_form (uncorrected)	-0.078	eV/atom
mass density	5.74	g/cm³

LiCo2Se: optimized geometry, PBE.

a = 5.0126 Å, b = 9.2733 Å, c = 2.6792 Å
α = 90.00°, β = 121.47°, γ = 90.00°
Closest atoms and distances in Å follow each position.
Positions (direct):
1 Li 0.0000 0.0000 0.0000  4 Se 2.51-2.54, 4 Co 2.64, 2 Li 2.68
2 Li 0.5000 0.5000 0.0000  4 Se 2.51-2.54, 4 Co 2.64, 2 Li 2.68
3 Co 0.2500 0.2500 0.0000  6 Co 2.51-2.68, 2 Li 2.64, 2 Se 2.64
4 Co 0.2500 0.7500 0.0000  6 Co 2.51-2.68, 2 Se 2.64, 2 Li 2.64
5 Co 0.7500 0.2500 0.0000  6 Co 2.51-2.68, 2 Li 2.64, 2 Se 2.64
6 Co 0.7500 0.7500 0.0000  6 Co 2.51-2.68, 2 Se 2.64, 2 Li 2.64
7 Se 0.0000 0.5000 0.0000  4 Li 2.51-2.54, 4 Co 2.64, 2 Se 2.68
8 Se 0.5000 0.0000 0.0000  4 Li 2.51-2.54, 4 Co 2.64, 2 Se 2.68

Output
total magnetization	6.27	μB per cell
SG	No. 12
E_form (uncorrected)	0.138	eV/atom
mass density	6.37	g/cm³

LiCo4Se: optimized geometry, PBE.

a = 4.8178 Å, b = 4.8178 Å, c = 4.8178 Å
α = 60.00°, β = 60.00°, γ = 60.00°
Closest atoms and distances in Å follow each position.
Positions (direct):
1 Li 0.0000 0.0000 0.0000  12 Co 2.82, 4 Se 2.95
2 Co 0.3746 0.3746 0.3746  6 Co 2.40-2.42
3 Co 0.3746 0.3746 0.8761  6 Co 2.40-2.42
4 Co 0.3746 0.8761 0.3746  6 Co 2.40-2.42
5 Co 0.8761 0.3746 0.3746  6 Co 2.40-2.42
6 Se 0.7500 0.7500 0.7500  12 Co 2.83, 4 Li 2.95

Output
total magnetization	7.00	μB per cell
SG	No. 216
E_form (uncorrected)	0.223	eV/atom
mass density	6.75	g/cm³

LiCoSe2: optimized geometry, PBE.

a = 3.4651 Å, b = 3.4651 Å, c = 5.4457 Å
α = 90.00°, β = 90.00°, γ = 90.00°
Closest atoms and distances in Å follow each position.
Positions (direct):
1 Li 0.0000 0.0000 0.0000  5 Se 2.47-2.60
2 Co 0.5000 0.5000 0.6235  5 Se 2.33-2.51
3 Se 0.0000 0.0000 0.5232  4 Co 2.51, 1 Li 2.60
4 Se 0.5000 0.5000 0.0505  1 Co 2.33, 4 Li 2.47

Output
total magnetization	0.54	μB per cell
SG	No. 99
E_form (uncorrected)	-0.322	eV/atom
mass density	5.68	g/cm³

LiCo2Se: optimized geometry, PBE.

a = 5.8626 Å, b = 5.8626 Å, c = 5.8626 Å
α = 90.00°, β = 90.00°, γ = 90.00°
Closest atoms and distances in Å follow each position.
Positions (direct):
1 Li 0.0000 0.0000 0.0000  4 Co 2.54, 4 Se 2.54
2 Li 0.0000 0.5000 0.5000  4 Se 2.54, 4 Co 2.54
3 Li 0.5000 0.0000 0.5000  4 Se 2.54, 4 Co 2.54
4 Li 0.5000 0.5000 0.0000  4 Se 2.54, 4 Co 2.54
5 Co 0.0000 0.0000 0.5000  4 Se 2.54, 4 Co 2.54
6 Co 0.0000 0.5000 0.0000  4 Se 2.54, 4 Co 2.54
7 Co 0.2500 0.2500 0.7500  4 Li 2.54, 4 Co 2.54
8 Co 0.2500 0.7500 0.2500  4 Li 2.54, 4 Co 2.54
9 Co 0.5000 0.0000 0.0000  4 Se 2.54, 4 Co 2.54
10 Co 0.5000 0.5000 0.5000  4 Se 2.54, 4 Co 2.54
11 Co 0.7500 0.2500 0.2500  4 Li 2.54, 4 Co 2.54
12 Co 0.7500 0.7500 0.7500  4 Li 2.54, 4 Co 2.54
13 Se 0.2500 0.2500 0.2500  4 Li 2.54, 4 Co 2.54
14 Se 0.2500 0.7500 0.7500  4 Li 2.54, 4 Co 2.54
15 Se 0.7500 0.2500 0.7500  4 Li 2.54, 4 Co 2.54
16 Se 0.7500 0.7500 0.2500  4 Li 2.54, 4 Co 2.54

Output
total magnetization	12.34	μB per cell
SG	No. 216
E_form (uncorrected)	0.058	eV/atom
mass density	6.72	g/cm³

LiCo2Se: optimized geometry, PBE.

a = 3.1933 Å, b = 3.1933 Å, c = 5.1464 Å
α = 90.00°, β = 90.00°, γ = 90.00°
Closest atoms and distances in Å follow each position.
Positions (direct):
1 Li 0.0000 0.0000 0.0000  6 Co 2.51-2.65, 4 Se 2.58
2 Co 0.0000 0.0000 0.5121  2 Li 2.51-2.64, 4 Co 2.53, 4 Se 2.66
3 Co 0.5000 0.5000 0.7319  4 Co 2.53, 2 Se 2.53-2.62, 4 Li 2.65
4 Se 0.5000 0.5000 0.2405  6 Co 2.53-2.66, 4 Li 2.58

Output
total magnetization	3.61	μB per cell
SG	No. 99
E_form (uncorrected)	0.045	eV/atom
mass density	6.45	g/cm³

LiCoSe2: optimized geometry, PBE.

a = 3.1942 Å, b = 3.1942 Å, c = 24.6493 Å
α = 90.00°, β = 90.00°, γ = 120.00°
Closest atoms and distances in Å follow each position.
Positions (direct):
1 Li 0.0000 0.0000 0.0000  6 Se 2.62
2 Li 0.3333 0.6667 0.6667  6 Se 2.62
3 Li 0.6667 0.3333 0.3333  6 Se 2.62
4 Co 0.0000 0.0000 0.5000  2 Se 2.25
5 Co 0.3333 0.6667 0.1667  2 Se 2.25
6 Co 0.6667 0.3333 0.8333  2 Se 2.25
7 Se 0.0000 0.0000 0.4089  1 Co 2.25
8 Se 0.0000 0.0000 0.5911  1 Co 2.25
9 Se 0.3333 0.6667 0.0755  1 Co 2.25
10 Se 0.3333 0.6667 0.2578  1 Co 2.25
11 Se 0.6667 0.3333 0.7422  1 Co 2.25
12 Se 0.6667 0.3333 0.9245  1 Co 2.25

Output
total magnetization	5.38	μB per cell
SG	No. 166
E_form (uncorrected)	-0.020	eV/atom
mass density	5.12	g/cm³

What is the E_form (uncorrected) in the twelfth record?
-0.020 eV/atom